A relaxed structure of AcV2CuO7, computed with GGA+U.

POSCAR file:
```
AcV2CuO7
1.0
-1.8774 1.8774 9.8034
1.8774 -1.8774 9.8034
1.8774 1.8774 -9.8034
Ac V Cu O
1 2 1 7
Direct
0.0000 0.0000 0.0000
0.3825 0.3825 0.0000
0.6175 0.6175 0.0000
0.7500 0.2500 0.5000
0.0997 0.5997 0.5000
0.2946 0.2946 0.0000
0.4003 0.9003 0.5000
0.5000 0.5000 0.0000
0.6012 0.1012 0.5000
0.7054 0.7054 0.0000
0.8988 0.3988 0.5000
```

Calculated values
* size of the total moment: 0.16 μB/f.u.
* Fermi-level density of states: 3.76 states/eV per cell
* V: 12.565 A^3/atom
* SG: No. 119
* total energy: -79.94 eV/cell